Entry 1:
# PBE Ce3YPu2S6, optimized geometry
data_Ce3YPu2S6
_cell_length_a 6.882
_cell_length_b 11.925
_cell_length_c 6.916
_cell_angle_alpha 90.00
_cell_angle_beta 109.39
_cell_angle_gamma 90.00
_space_group_name_H-M_alt 'C 1 2/m 1'
_space_group_IT_number 12
loop_
_space_group_symop_operation_xyz
'x,y,z'
'-x,-y,-z'
'-x,y,-z'
'x,-y,z'
'x+1/2,y+1/2,z'
'-x+1/2,-y+1/2,-z'
'-x+1/2,y+1/2,-z'
'x+1/2,-y+1/2,z'
loop_
_atom_site_label
_atom_site_type_symbol
_atom_site_fract_x
_atom_site_fract_y
_atom_site_fract_z
_atom_site_occupancy
Ce1 Ce 0.000 0.000 0.000 1
Ce2 Ce 0.000 0.333 0.000 1
Y1 Y 0.000 0.500 0.500 1
Pu1 Pu 0.000 0.166 0.500 1
S1 S 0.247 0.334 0.741 1
S2 S 0.248 0.000 0.742 1
# E   -8.426 eV per atom
# DOS at the Fermi energy   54.53 states/eV per cell

***

Entry 2:
# PBE CeYPu2S4, optimized geometry
data_CeYPu2S4
_cell_length_a 6.856
_cell_length_b 3.956
_cell_length_c 6.876
_cell_angle_alpha 90.00
_cell_angle_beta 109.31
_cell_angle_gamma 90.00
_space_group_name_H-M_alt 'P 1 2/m 1'
_space_group_IT_number 10
loop_
_space_group_symop_operation_xyz
'x,y,z'
'-x,-y,-z'
'-x,y,-z'
'x,-y,z'
loop_
_atom_site_label
_atom_site_type_symbol
_atom_site_fract_x
_atom_site_fract_y
_atom_site_fract_z
_atom_site_occupancy
Ce1 Ce 0.000 0.000 0.000 1
Y1 Y 0.000 0.500 0.500 1
Pu1 Pu 0.500 0.000 0.500 1
Pu2 Pu 0.500 0.500 0.000 1
S1 S 0.251 0.000 0.746 1
S2 S 0.255 0.500 0.256 1
# E   -9.106 eV per atom
# DOS at the Fermi energy   16.24 states/eV per cell

***

Entry 3:
# PBE Ce2YPuS4, optimized geometry
data_Ce2YPuS4
_cell_length_a 6.885
_cell_length_b 3.964
_cell_length_c 6.914
_cell_angle_alpha 90.00
_cell_angle_beta 109.27
_cell_angle_gamma 90.00
_space_group_name_H-M_alt 'P 1 2/m 1'
_space_group_IT_number 10
loop_
_space_group_symop_operation_xyz
'x,y,z'
'-x,-y,-z'
'-x,y,-z'
'x,-y,z'
loop_
_atom_site_label
_atom_site_type_symbol
_atom_site_fract_x
_atom_site_fract_y
_atom_site_fract_z
_atom_site_occupancy
Ce1 Ce 0.000 0.000 0.000 1
Ce2 Ce 0.500 0.500 0.000 1
Y1 Y 0.000 0.500 0.500 1
Pu1 Pu 0.500 0.000 0.500 1
S1 S 0.246 0.000 0.741 1
S2 S 0.252 0.500 0.259 1
# E   -8.120 eV per atom
# DOS at the Fermi energy   16.14 states/eV per cell

***

Entry 4:
# PBE CePuSb2, optimized geometry
data_CePuSb2
_cell_length_a 4.4761
_cell_length_b 4.4761
_cell_length_c 21.7265
_cell_angle_alpha 90.00
_cell_angle_beta 90.00
_cell_angle_gamma 120.00
_space_group_name_H-M_alt 'R -3 m'
_space_group_IT_number 166
_space_group_name_Hall '-R 3 2"'
loop_
_atom_site_label
_atom_site_type_symbol
_atom_site_fract_x
_atom_site_fract_y
_atom_site_fract_z
_atom_site_occupancy
Ce1 Ce 0.0000 0.0000 0.0000 1
Pu1 Pu 0.0000 0.0000 0.5000 1
Sb1 Sb 0.0000 0.0000 0.2489 1
# E   -7.959 eV per atom
# Excess energy over the best structure of this formula in the dataset   0.000 eV/atom
# DOS at the Fermi energy   50.00 states/eV per cell

***

Entry 5:
# PBE CePuSb2, optimized geometry
data_CePuSb2
_cell_length_a 7.620
_cell_length_b 7.620
_cell_length_c 7.620
_cell_angle_alpha 90.00
_cell_angle_beta 90.00
_cell_angle_gamma 90.00
_space_group_name_H-M_alt 'F m -3 m'
_space_group_IT_number 225
_space_group_name_Hall '-F 4 2 3'
loop_
_atom_site_label
_atom_site_type_symbol
_atom_site_fract_x
_atom_site_fract_y
_atom_site_fract_z
_atom_site_occupancy
Ce1 Ce 0.000 0.000 0.000 1
Pu1 Pu 0.000 0.000 0.500 1
Sb1 Sb 0.250 0.250 0.250 1
# E   -7.834 eV per atom
# Excess energy over the best structure of this formula in the dataset   0.125 eV/atom
# DOS at the Fermi energy   64.14 states/eV per cell

***

Entry 6:
# PBE Ce6PuSb10, optimized geometry
data_Ce6PuSb10
_cell_length_a 9.4518
_cell_length_b 9.4518
_cell_length_c 6.2354
_cell_angle_alpha 90.00
_cell_angle_beta 90.00
_cell_angle_gamma 120.00
_space_group_name_H-M_alt 'P -3 1 m'
_space_group_IT_number 162
_space_group_name_Hall '-P 3 2'
loop_
_atom_site_label
_atom_site_type_symbol
_atom_site_fract_x
_atom_site_fract_y
_atom_site_fract_z
_atom_site_occupancy
Ce1 Ce 0.0000 0.3828 0.2506 1
Pu1 Pu 0.0000 0.0000 0.5000 1
Sb1 Sb 0.0000 0.2709 0.7611 1
Sb2 Sb 0.3333 0.6667 0.0000 1
Sb3 Sb 0.3333 0.6667 0.5000 1
# E   -6.203 eV per atom
# DOS at the Fermi energy   32.38 states/eV per cell